Ca2LaMo | GGA-PBEsol | relaxed

a = 3.6165 Å, b = 3.6165 Å, c = 8.9267 Å
α = 90.00°, β = 90.00°, γ = 90.00°
With the nearest neighbours (Å) after each atom.
Sites, in units of the cell vectors:
Mo  0.5000  0.5000  0.7200  4 La 2.89, 4 Ca 3.23
Ca  0.0000  0.0000  0.9411  4 Mo 3.23, 1 La 3.32, 4 Ca 3.62
Ca  0.5000  0.5000  0.2695  8 Ca 3.62-3.89, 4 La 3.70, 1 Mo 4.02
La  0.0000  0.0000  0.5694  4 Mo 2.89

Results
As for the crystal system: tetragonal. The energy above the most stable polymorph in this dataset comes out at 0.0 kJ/mol of atoms. Its space group is P4mm.